# YOsRh2 (GGA-PBE, relaxed)
data_YOsRh2
_chemical_formula_sum 'Y3 Os3 Rh6'
_symmetry_space_group_name_H-M 'R 3 m'
_symmetry_Int_Tables_number 160
_symmetry_space_group_name_Hall 'R 3 -2"'
_cell_length_a 2.8682
_cell_length_b 2.8682
_cell_length_c 28.1160
_cell_angle_alpha 90.00
_cell_angle_beta 90.00
_cell_angle_gamma 120.00
loop_
_atom_site_label
_atom_site_fract_x
_atom_site_fract_y
_atom_site_fract_z
_atom_site_occupancy
Y1 0.0000 0.0000 0.0000 1
Os1 0.0000 0.0000 0.7601 1
Rh1 0.0000 0.0000 0.2468 1
Rh2 0.0000 0.0000 0.5003 1
# energy relative to the lowest polymorph listed for this composition	186	kJ/mol of formula units
# density	12.06	g cm⁻³

# Y2OsRh (GGA-PBE, relaxed)
data_Y2OsRh
_chemical_formula_sum 'Y2 Os1 Rh1'
_symmetry_space_group_name_H-M 'P 1 2/m 1'
_symmetry_Int_Tables_number 10
_cell_length_a 3.438
_cell_length_b 4.831
_cell_length_c 4.838
_cell_angle_alpha 90.00
_cell_angle_beta 90.10
_cell_angle_gamma 90.00
loop_
_symmetry_equiv_pos_as_xyz
'x,y,z'
'-x,-y,-z'
'-x,y,-z'
'x,-y,z'
loop_
_atom_site_label
_atom_site_fract_x
_atom_site_fract_y
_atom_site_fract_z
_atom_site_occupancy
Y1 0.000 0.000 0.000 1
Y2 0.000 0.500 0.500 1
Os1 0.500 0.000 0.500 1
Rh1 0.500 0.500 0.000 1
# density	9.73	g cm⁻³

# YOsRh (GGA-PBE, relaxed)
data_YOsRh
_chemical_formula_sum 'Y1 Os1 Rh1'
_symmetry_space_group_name_H-M 'P 3 m 1'
_symmetry_Int_Tables_number 156
_cell_length_a 2.9303
_cell_length_b 2.9303
_cell_length_c 7.1396
_cell_angle_alpha 90.00
_cell_angle_beta 90.00
_cell_angle_gamma 120.00
loop_
_symmetry_equiv_pos_as_xyz
'x,y,z'
'-y,x-y,z'
'-x+y,-x,z'
'-y,-x,z'
'-x+y,y,z'
'x,x-y,z'
loop_
_atom_site_label
_atom_site_fract_x
_atom_site_fract_y
_atom_site_fract_z
_atom_site_occupancy
Y1 0.0000 0.0000 0.0000 1
Os1 0.6667 0.3333 0.3609 1
Rh1 0.3333 0.6667 0.6516 1
# energy relative to the lowest polymorph listed for this composition	272	kJ/mol of formula units
# density	11.95	g cm⁻³

# YOs2Rh (GGA-PBE, relaxed)
data_YOs2Rh
_chemical_formula_sum 'Y3 Os6 Rh3'
_symmetry_space_group_name_H-M 'R -3 m'
_symmetry_Int_Tables_number 166
_symmetry_space_group_name_Hall '-R 3 2"'
_cell_length_a 2.8073
_cell_length_b 2.8073
_cell_length_c 29.0073
_cell_angle_alpha 90.00
_cell_angle_beta 90.00
_cell_angle_gamma 120.00
loop_
_atom_site_label
_atom_site_fract_x
_atom_site_fract_y
_atom_site_fract_z
_atom_site_occupancy
Y1 0.0000 0.0000 0.0000 1
Os1 0.0000 0.0000 0.2420 1
Rh1 0.0000 0.0000 0.5000 1
# energy relative to the lowest polymorph listed for this composition	180	kJ/mol of formula units
# density	14.40	g cm⁻³

# YOs2Rh (GGA-PBE, relaxed)
data_YOs2Rh
_chemical_formula_sum 'Y2 Os4 Rh2'
_symmetry_space_group_name_H-M 'I m m 2'
_symmetry_Int_Tables_number 44
_cell_length_a 3.934
_cell_length_b 4.352
_cell_length_c 7.922
_cell_angle_alpha 90.00
_cell_angle_beta 90.00
_cell_angle_gamma 90.00
loop_
_symmetry_equiv_pos_as_xyz
'x,y,z'
'-x,-y,z'
'-x,y,z'
'x,-y,z'
'x+1/2,y+1/2,z+1/2'
'-x+1/2,-y+1/2,z+1/2'
'-x+1/2,y+1/2,z+1/2'
'x+1/2,-y+1/2,z+1/2'
loop_
_atom_site_label
_atom_site_fract_x
_atom_site_fract_y
_atom_site_fract_z
_atom_site_occupancy
Y1 0.000 0.000 0.000 1
Os1 0.000 0.000 0.480 1
Os2 0.000 0.500 0.762 1
Rh1 0.000 0.500 0.236 1
# energy relative to the lowest polymorph listed for this composition	52	kJ/mol of formula units
# density	14.02	g cm⁻³

# YOs2Rh (GGA-PBE, relaxed)
data_YOs2Rh
_chemical_formula_sum 'Y4 Os8 Rh4'
_symmetry_space_group_name_H-M 'F -4 3 m'
_symmetry_Int_Tables_number 216
_symmetry_space_group_name_Hall 'F -4 2 3'
_cell_length_a 6.467
_cell_length_b 6.467
_cell_length_c 6.467
_cell_angle_alpha 90.00
_cell_angle_beta 90.00
_cell_angle_gamma 90.00
loop_
_atom_site_label
_atom_site_fract_x
_atom_site_fract_y
_atom_site_fract_z
_atom_site_occupancy
Y1 0.000 0.000 0.000 1
Os1 0.000 0.000 0.500 1
Os2 0.250 0.250 0.250 1
Rh1 0.250 0.250 0.750 1
# energy relative to the lowest polymorph listed for this composition	102	kJ/mol of formula units
# density	14.05	g cm⁻³

# YOsRh2 (GGA-PBE, relaxed)
data_YOsRh2
_chemical_formula_sum 'Y1 Os1 Rh2'
_symmetry_space_group_name_H-M 'P m m 2'
_symmetry_Int_Tables_number 25
_cell_length_a 2.896
_cell_length_b 4.597
_cell_length_c 4.970
_cell_angle_alpha 90.00
_cell_angle_beta 90.00
_cell_angle_gamma 90.00
loop_
_symmetry_equiv_pos_as_xyz
'x,y,z'
'-x,-y,z'
'-x,y,z'
'x,-y,z'
loop_
_atom_site_label
_atom_site_fract_x
_atom_site_fract_y
_atom_site_fract_z
_atom_site_occupancy
Y1 0.000 0.000 0.000 1
Os1 0.000 0.500 0.610 1
Rh1 0.500 0.000 0.501 1
Rh2 0.500 0.500 0.144 1
# energy relative to the lowest polymorph listed for this composition	3	kJ/mol of formula units
# density	12.17	g cm⁻³

# YOsRh2 (GGA-PBE, relaxed)
data_YOsRh2
_chemical_formula_sum 'Y1 Os1 Rh2'
_symmetry_space_group_name_H-M 'P 4/m m m'
_symmetry_Int_Tables_number 123
_symmetry_space_group_name_Hall '-P 4 2'
_cell_length_a 2.907
_cell_length_b 2.907
_cell_length_c 7.925
_cell_angle_alpha 90.00
_cell_angle_beta 90.00
_cell_angle_gamma 90.00
loop_
_atom_site_label
_atom_site_fract_x
_atom_site_fract_y
_atom_site_fract_z
_atom_site_occupancy
Y1 0.000 0.000 0.000 1
Os1 0.000 0.000 0.500 1
Rh1 0.500 0.500 0.280 1
# energy relative to the lowest polymorph listed for this composition	36	kJ/mol of formula units
# density	12.02	g cm⁻³

# YOs2Rh (GGA-PBE, relaxed)
data_YOs2Rh
_chemical_formula_sum 'Y2 Os4 Rh2'
_symmetry_space_group_name_H-M 'I 4/m m m'
_symmetry_Int_Tables_number 139
_symmetry_space_group_name_Hall '-I 4 2'
_cell_length_a 3.959
_cell_length_b 3.959
_cell_length_c 8.597
_cell_angle_alpha 90.00
_cell_angle_beta 90.00
_cell_angle_gamma 90.00
loop_
_atom_site_label
_atom_site_fract_x
_atom_site_fract_y
_atom_site_fract_z
_atom_site_occupancy
Y1 0.000 0.000 0.000 1
Os1 0.000 0.500 0.250 1
Rh1 0.000 0.000 0.500 1
# energy relative to the lowest polymorph listed for this composition	68	kJ/mol of formula units
# density	14.10	g cm⁻³

# YOsRh (GGA-PBE, relaxed)
data_YOsRh
_chemical_formula_sum 'Y2 Os2 Rh2'
_symmetry_space_group_name_H-M 'P 3 m 1'
_symmetry_Int_Tables_number 156
_cell_length_a 4.4438
_cell_length_b 4.4438
_cell_length_c 6.5800
_cell_angle_alpha 90.00
_cell_angle_beta 90.00
_cell_angle_gamma 120.00
loop_
_symmetry_equiv_pos_as_xyz
'x,y,z'
'-y,x-y,z'
'-x+y,-x,z'
'-y,-x,z'
'-x+y,y,z'
'x,x-y,z'
loop_
_atom_site_label
_atom_site_fract_x
_atom_site_fract_y
_atom_site_fract_z
_atom_site_occupancy
Y1 0.0000 0.0000 0.0000 1
Y2 0.3333 0.6667 0.3475 1
Os1 0.0000 0.0000 0.5889 1
Os2 0.6667 0.3333 0.6071 1
Rh1 0.3333 0.6667 0.8037 1
Rh2 0.6667 0.3333 0.1613 1
# energy relative to the lowest polymorph listed for this composition	93	kJ/mol of formula units
# density	11.28	g cm⁻³

# YOsRh (GGA-PBE, relaxed)
data_YOsRh
_chemical_formula_sum 'Y4 Os4 Rh4'
_symmetry_space_group_name_H-M 'C 1 2/m 1'
_symmetry_Int_Tables_number 12
_cell_length_a 8.893
_cell_length_b 4.568
_cell_length_c 5.449
_cell_angle_alpha 90.00
_cell_angle_beta 103.58
_cell_angle_gamma 90.00
loop_
_symmetry_equiv_pos_as_xyz
'x,y,z'
'-x,-y,-z'
'-x,y,-z'
'x,-y,z'
'x+1/2,y+1/2,z'
'-x+1/2,-y+1/2,-z'
'-x+1/2,y+1/2,-z'
'x+1/2,-y+1/2,z'
loop_
_atom_site_label
_atom_site_fract_x
_atom_site_fract_y
_atom_site_fract_z
_atom_site_occupancy
Y1 0.146 0.000 0.320 1
Os1 0.000 0.500 0.000 1
Os2 0.000 0.500 0.500 1
Rh1 0.187 0.000 0.850 1
# energy relative to the lowest polymorph listed for this composition	115	kJ/mol of formula units
# density	11.79	g cm⁻³

# YOsRh2 (GGA-PBE, relaxed)
data_YOsRh2
_chemical_formula_sum 'Y2 Os2 Rh4'
_symmetry_space_group_name_H-M 'C 1 2/m 1'
_symmetry_Int_Tables_number 12
_cell_length_a 9.288
_cell_length_b 2.969
_cell_length_c 5.051
_cell_angle_alpha 90.00
_cell_angle_beta 101.25
_cell_angle_gamma 90.00
loop_
_symmetry_equiv_pos_as_xyz
'x,y,z'
'-x,-y,-z'
'-x,y,-z'
'x,-y,z'
'x+1/2,y+1/2,z'
'-x+1/2,-y+1/2,-z'
'-x+1/2,y+1/2,-z'
'x+1/2,-y+1/2,z'
loop_
_atom_site_label
_atom_site_fract_x
_atom_site_fract_y
_atom_site_fract_z
_atom_site_occupancy
Y1 0.000 0.000 0.000 1
Os1 0.000 0.500 0.500 1
Rh1 0.240 0.000 0.710 1
# energy relative to the lowest polymorph listed for this composition	45	kJ/mol of formula units
# density	11.79	g cm⁻³

# YOsRh (GGA-PBE, relaxed)
data_YOsRh
_chemical_formula_sum 'Y4 Os4 Rh4'
_symmetry_space_group_name_H-M 'A m m 2'
_symmetry_Int_Tables_number 38
_cell_length_a 3.904
_cell_length_b 4.461
_cell_length_c 12.653
_cell_angle_alpha 90.00
_cell_angle_beta 90.00
_cell_angle_gamma 90.00
loop_
_symmetry_equiv_pos_as_xyz
'x,y,z'
'-x,-y,z'
'-x,y,z'
'x,-y,z'
'x,y+1/2,z+1/2'
'-x,-y+1/2,z+1/2'
'-x,y+1/2,z+1/2'
'x,-y+1/2,z+1/2'
loop_
_atom_site_label
_atom_site_fract_x
_atom_site_fract_y
_atom_site_fract_z
_atom_site_occupancy
Y1 0.000 0.000 0.000 1
Y2 0.000 0.000 0.310 1
Os1 0.000 0.000 0.648 1
Os2 0.500 0.000 0.521 1
Rh1 0.500 0.000 0.159 1
Rh2 0.500 0.000 0.818 1
# energy relative to the lowest polymorph listed for this composition	105	kJ/mol of formula units
# density	11.52	g cm⁻³

# YOs2Rh (GGA-PBE, relaxed)
data_YOs2Rh
_chemical_formula_sum 'Y4 Os8 Rh4'
_symmetry_space_group_name_H-M 'F m -3 m'
_symmetry_Int_Tables_number 225
_symmetry_space_group_name_Hall '-F 4 2 3'
_cell_length_a 6.476
_cell_length_b 6.476
_cell_length_c 6.476
_cell_angle_alpha 90.00
_cell_angle_beta 90.00
_cell_angle_gamma 90.00
loop_
_atom_site_label
_atom_site_fract_x
_atom_site_fract_y
_atom_site_fract_z
_atom_site_occupancy
Y1 0.000 0.000 0.000 1
Os1 0.250 0.250 0.250 1
Rh1 0.000 0.000 0.500 1
# energy relative to the lowest polymorph listed for this composition	183	kJ/mol of formula units
# density	14.00	g cm⁻³

# YOsRh (GGA-PBE, relaxed)
data_YOsRh
_chemical_formula_sum 'Y4 Os4 Rh4'
_symmetry_space_group_name_H-M 'I m m a'
_symmetry_Int_Tables_number 74
_symmetry_space_group_name_Hall '-I 2b 2'
_cell_length_a 5.088
_cell_length_b 5.448
_cell_length_c 7.859
_cell_angle_alpha 90.00
_cell_angle_beta 90.00
_cell_angle_gamma 90.00
loop_
_atom_site_label
_atom_site_fract_x
_atom_site_fract_y
_atom_site_fract_z
_atom_site_occupancy
Y1 0.000 0.250 0.121 1
Os1 0.250 0.250 0.750 1
Rh1 0.000 0.000 0.500 1
# energy relative to the lowest polymorph listed for this composition	0	kJ/mol of formula units
# density	11.65	g cm⁻³

no.,E (eV per cell)
1,-92.994
2,-33.270
3,-23.721
4,-102.691
5,-71.107
6,-140.154
7,-32.902
8,-32.557
9,-70.769
10,-51.154
11,-101.372
12,-64.918
13,-101.799
14,-136.758
15,-106.160